*w*
First-principles (GGA-PBE) data for an optimized crystal structure of MgP2SI, as listed in Alexandria via LeMat-Bulk.

```
MgP2SI
1.0
5.1502 0.0000 0.0000
0.0000 5.1502 0.0000
0.0000 0.0000 5.0468
Mg P S I
1 2 1 1
Cartesian
0.0000 0.0000 0.0000
0.0000 2.5751 2.5234
2.5751 0.0000 2.5234
2.5751 2.5751 0.0000
2.5751 2.5751 2.5234
```

*x*
First-principles (GGA-PBE) data for an optimized crystal structure of MgP2SI, as listed in Alexandria via LeMat-Bulk.

```
MgP2SI
1.0
5.0623 0.0000 0.0000
0.0000 5.0623 0.0000
0.0000 0.0000 4.6109
Mg P S I
1 2 1 1
Cartesian
0.0000 0.0000 0.0000
0.0000 2.5312 0.0000
2.5312 0.0000 0.0000
0.0000 0.0000 2.3054
2.5312 2.5312 2.3054
```

Stability summary - winner: *x*; margin: 332 meV/atom.

*w*
First-principles (GGA-PBE) data for an optimized crystal structure of MgSb2PI, as listed in Alexandria via LeMat-Bulk.

```
MgSb2PI
1.0
5.4878 0.0000 0.0000
0.0000 5.4878 0.0000
0.0000 0.0000 5.3156
Mg Sb P I
1 2 1 1
Cartesian
0.0000 0.0000 0.0000
0.0000 2.7439 0.0000
2.7439 0.0000 0.0000
2.7439 2.7439 2.6578
0.0000 0.0000 2.6578
```

*x*
First-principles (GGA-PBE) data for an optimized crystal structure of MgSb2PI, as listed in Alexandria via LeMat-Bulk.

```
MgSb2PI
1.0
5.3063 0.0000 0.0000
0.0000 5.3063 0.0000
0.0000 0.0000 5.3651
Mg Sb P I
1 2 1 1
Cartesian
0.0000 0.0000 0.0000
0.0000 2.6532 2.6826
2.6532 0.0000 2.6826
2.6532 2.6532 2.6826
2.6532 2.6532 0.0000
```

Stability summary - winner: *x*; margin: 354 meV/atom.

*w*
First-principles (GGA-PBE) data for an optimized crystal structure of MgPaI6, as listed in Alexandria via LeMat-Bulk.

```
MgPaI6
1.0
3.7086 -7.3265 0.0000
3.7086 7.3265 0.0000
-2.4570 0.0000 7.0025
Mg Pa I
1 1 6
Cartesian
0.0000 0.0000 0.0000
2.4801 0.0000 3.5013
1.1796 2.0910 1.6717
0.0381 0.0000 5.2350
1.1796 -2.0910 1.6717
3.7805 2.0910 5.3308
4.9220 0.0000 1.7676
3.7805 -2.0910 5.3308
```

*x*
First-principles (GGA-PBE) data for an optimized crystal structure of MgPaI6, as listed in Alexandria via LeMat-Bulk.

```
MgPaI6
1.0
3.7875 2.1867 6.8575
-3.7875 2.1867 6.8575
0.0000 -4.3734 6.8575
Mg Pa I
1 1 6
Cartesian
0.0000 0.0000 0.0000
0.0000 0.0000 10.2862
-2.4896 0.1218 8.5411
-1.3503 -2.0952 12.0314
1.1393 -2.2170 8.5411
-1.1393 2.2170 12.0314
1.3503 2.0952 8.5411
2.4896 -0.1218 12.0314
```

Stability summary - winner: *w*; margin: 23 meV/atom.

*w*
First-principles (GGA-PBE) data for an optimized crystal structure of MgPb2I6, as listed in Alexandria via LeMat-Bulk.

```
MgPb2I6
1.0
7.4669 0.0000 0.0000
0.0000 7.4669 0.0000
0.0000 0.0000 14.0327
Mg Pb I
2 4 12
Cartesian
0.0000 0.0000 0.0000
3.7335 3.7335 7.0164
0.0000 0.0000 4.6995
0.0000 0.0000 9.3333
3.7335 3.7335 2.3169
3.7335 3.7335 11.7158
1.4164 1.4164 2.1567
1.4164 1.4164 11.8761
1.6071 1.6071 7.0164
2.1264 5.3405 0.0000
2.3171 5.1498 4.8597
2.3171 5.1498 9.1730
5.1498 2.3171 4.8597
5.1498 2.3171 9.1730
5.3405 2.1264 0.0000
5.8598 5.8598 7.0164
6.0505 6.0505 2.1567
6.0505 6.0505 11.8761
```

*x*
First-principles (GGA-PBE) data for an optimized crystal structure of MgPb2I6, as listed in Alexandria via LeMat-Bulk.

```
MgPb2I6
1.0
8.4907 -2.2317 0.0000
8.4907 2.2317 0.0000
-3.3296 0.0000 10.6729
Mg Pb I
1 2 6
Cartesian
0.0000 0.0000 0.0000
3.4307 0.0000 7.1691
10.2210 0.0000 3.5038
-0.5589 0.0000 2.8807
4.0555 0.0000 3.9185
3.1462 0.0000 10.3789
10.5056 0.0000 0.2940
9.5962 0.0000 6.7543
14.2106 0.0000 7.7922
```

Stability summary - winner: *x*; margin: 51 meV/atom.

*w*
First-principles (GGA-PBE) data for an optimized crystal structure of Mg2PbI6, as listed in Alexandria via LeMat-Bulk.

```
Mg2PbI6
1.0
7.5762 0.0000 0.0000
-3.7881 6.5612 0.0000
0.0000 0.0000 7.7044
Mg Pb I
2 1 6
Cartesian
0.0000 4.3741 0.0000
3.7881 2.1871 0.0000
0.0000 0.0000 0.0000
-1.3735 2.3790 1.7192
-2.4146 4.1822 5.9852
2.7471 0.0000 1.7192
1.3735 2.3790 5.9852
4.8291 0.0000 5.9852
2.4146 4.1822 1.7192
```

*x*
First-principles (GGA-PBE) data for an optimized crystal structure of Mg2PbI6, as listed in Alexandria via LeMat-Bulk.

```
Mg2PbI6
1.0
7.5525 -2.2611 0.0000
7.5525 2.2611 0.0000
-1.1219 0.0000 12.3832
Mg Pb I
2 1 6
Cartesian
2.9898 0.0000 2.8338
10.9934 0.0000 9.5494
6.9916 0.0000 6.1916
1.6422 0.0000 5.3227
4.2525 0.0000 10.9441
5.6815 0.0000 3.2254
8.3017 0.0000 9.1578
9.7307 0.0000 1.4392
12.3409 0.0000 7.0605
```

Stability summary - winner: *w*; margin: 51 meV/atom.

*w*
First-principles (GGA-PBE) data for an optimized crystal structure of MgPb2I, as listed in Alexandria via LeMat-Bulk.

```
MgPb2I
1.0
-2.2781 2.2781 12.6639
2.2781 -2.2781 12.6639
2.2781 2.2781 -12.6639
Mg Pb I
2 4 2
Cartesian
0.0000 0.0000 0.0000
0.0000 2.2781 6.3320
3.4171 1.0868 -3.1660
1.0868 1.1390 3.1660
-1.1390 1.1913 9.4979
1.1913 1.1390 15.8299
2.2781 0.0000 6.3320
0.0000 0.0000 12.6639
```

*x*
First-principles (GGA-PBE) data for an optimized crystal structure of MgPb2I, as listed in Alexandria via LeMat-Bulk.

```
MgPb2I
1.0
0.0000 3.9826 3.9826
3.9826 0.0000 3.9826
3.9826 3.9826 0.0000
Mg Pb I
1 2 1
Cartesian
0.0000 0.0000 0.0000
1.9913 1.9913 1.9913
5.9740 5.9740 5.9740
3.9826 3.9826 3.9826
```

Stability summary - winner: *w*; margin: 141 meV/atom.

*w*
First-principles (GGA-PBE) data for an optimized crystal structure of Mg2PbI, as listed in Alexandria via LeMat-Bulk.

```
Mg2PbI
1.0
2.0853 1.2039 7.8818
-2.0853 1.2039 7.8818
0.0000 -2.4079 7.8818
Mg Pb I
2 1 1
Cartesian
0.0000 0.0000 5.7083
0.0000 0.0000 17.9371
0.0000 0.0000 11.8227
0.0000 0.0000 0.0000
```

*x*
First-principles (GGA-PBE) data for an optimized crystal structure of Mg2PbI, as listed in Alexandria via LeMat-Bulk.

```
Mg2PbI
1.0
-3.5252 3.5252 6.2681
3.5252 -3.5252 6.2681
3.5252 3.5252 -6.2681
Mg Pb I
4 2 2
Cartesian
5.2877 1.6189 -1.5670
1.6189 1.7626 1.5670
-1.7626 1.9063 4.7011
1.9063 1.7626 7.8351
0.0000 0.0000 0.0000
0.0000 3.5252 3.1341
3.5252 0.0000 3.1341
0.0000 0.0000 6.2681
```

*y*
First-principles (GGA-PBE) data for an optimized crystal structure of Mg2PbI, as listed in Alexandria via LeMat-Bulk.

```
Mg2PbI
1.0
0.0000 3.8168 3.8168
3.8168 0.0000 3.8168
3.8168 3.8168 0.0000
Mg Pb I
2 1 1
Cartesian
1.9084 1.9084 1.9084
5.7253 5.7253 5.7253
0.0000 0.0000 0.0000
3.8168 3.8168 3.8168
```

Stability summary - winner: *w*; margin: 164 meV/atom.

*w*
First-principles (GGA-PBE) data for an optimized crystal structure of MgSb2PbI, as listed in Alexandria via LeMat-Bulk.

```
MgSb2PbI
1.0
5.8866 0.0000 0.0000
0.0000 5.8866 0.0000
0.0000 0.0000 6.1075
Mg Sb Pb I
1 2 1 1
Cartesian
0.0000 0.0000 0.0000
0.0000 2.9433 3.0538
2.9433 0.0000 3.0538
2.9433 2.9433 3.0538
2.9433 2.9433 0.0000
```

*x*
First-principles (GGA-PBE) data for an optimized crystal structure of MgSb2PbI, as listed in Alexandria via LeMat-Bulk.

```
MgSb2PbI
1.0
5.4477 0.0000 0.0000
0.0000 5.4477 0.0000
0.0000 0.0000 5.6951
Mg Sb Pb I
1 2 1 1
Cartesian
0.0000 0.0000 0.0000
0.0000 2.7239 0.0000
2.7239 0.0000 0.0000
2.7239 2.7239 2.8476
0.0000 0.0000 2.8476
```

Stability summary - winner: *x*; margin: 370 meV/atom.

*w*
First-principles (GGA-PBE) data for an optimized crystal structure of MgTePbI2, as listed in Alexandria via LeMat-Bulk.

```
MgTePbI2
1.0
6.1088 0.0000 0.0000
0.0000 6.1088 0.0000
0.0000 0.0000 6.0751
Mg Te Pb I
1 1 1 2
Cartesian
0.0000 0.0000 0.0000
3.0544 3.0544 0.0000
3.0544 3.0544 3.0376
0.0000 3.0544 3.0376
3.0544 0.0000 3.0376
```

*x*
First-principles (GGA-PBE) data for an optimized crystal structure of MgTePbI2, as listed in Alexandria via LeMat-Bulk.

```
MgTePbI2
1.0
5.5312 0.0000 0.0000
0.0000 5.5312 0.0000
0.0000 0.0000 5.8614
Mg Te Pb I
1 1 1 2
Cartesian
0.0000 0.0000 0.0000
0.0000 0.0000 2.9307
2.7656 2.7656 2.9307
0.0000 2.7656 0.0000
2.7656 0.0000 0.0000
```

Stability summary - winner: *x*; margin: 396 meV/atom.

*w*
First-principles (GGA-PBE) data for an optimized crystal structure of MgTe2PbI, as listed in Alexandria via LeMat-Bulk.

```
MgTe2PbI
1.0
5.8957 0.0000 0.0000
0.0000 5.8957 0.0000
0.0000 0.0000 6.0522
Mg Te Pb I
1 2 1 1
Cartesian
0.0000 0.0000 0.0000
0.0000 2.9479 3.0261
2.9479 0.0000 3.0261
2.9479 2.9479 3.0261
2.9479 2.9479 0.0000
```

*x*
First-principles (GGA-PBE) data for an optimized crystal structure of MgTe2PbI, as listed in Alexandria via LeMat-Bulk.

```
MgTe2PbI
1.0
5.5350 0.0000 0.0000
0.0000 5.5350 0.0000
0.0000 0.0000 5.6167
Mg Te Pb I
1 2 1 1
Cartesian
0.0000 0.0000 0.0000
0.0000 2.7675 0.0000
2.7675 0.0000 0.0000
2.7675 2.7675 2.8084
0.0000 0.0000 2.8084
```

Stability summary - winner: *x*; margin: 414 meV/atom.

*w*
First-principles (GGA-PBE) data for an optimized crystal structure of Mg2PdI, as listed in Alexandria via LeMat-Bulk.

```
Mg2PdI
1.0
0.0000 3.5357 3.5357
3.5357 0.0000 3.5357
3.5357 3.5357 0.0000
Mg Pd I
2 1 1
Cartesian
1.7679 1.7679 1.7679
5.3036 5.3036 5.3036
0.0000 0.0000 0.0000
3.5357 3.5357 3.5357
```

*x*
First-principles (GGA-PBE) data for an optimized crystal structure of Mg2PdI, as listed in Alexandria via LeMat-Bulk.

```
Mg2PdI
1.0
-2.8552 2.8552 7.6015
2.8552 -2.8552 7.6015
2.8552 2.8552 -7.6015
Mg Pd I
4 2 2
Cartesian
4.2827 0.9446 -1.9004
0.9446 1.4276 1.9004
-1.4276 1.9105 5.7011
1.9105 1.4276 9.5019
0.0000 0.0000 0.0000
0.0000 2.8552 3.8008
2.8552 0.0000 3.8008
0.0000 0.0000 7.6015
```

Stability summary - winner: *x*; margin: 175 meV/atom.

*w*
First-principles (GGA-PBE) data for an optimized crystal structure of Pm2MgI, as listed in Alexandria via LeMat-Bulk.

```
Pm2MgI
1.0
1.9095 1.1024 10.1168
-1.9095 1.1024 10.1168
0.0000 -2.2049 10.1168
Pm Mg I
2 1 1
Cartesian
0.0000 0.0000 0.0000
0.0000 0.0000 5.0957
0.0000 0.0000 12.6540
0.0000 0.0000 17.7173
```

*x*
First-principles (GGA-PBE) data for an optimized crystal structure of Pm2MgI, as listed in Alexandria via LeMat-Bulk.

```
Pm2MgI
1.0
3.7782 0.0000 0.0000
0.0000 3.7782 0.0000
0.0000 0.0000 8.4140
Pm Mg I
2 1 1
Cartesian
0.0000 0.0000 2.0014
0.0000 0.0000 6.4126
1.8891 1.8891 0.0000
1.8891 1.8891 4.2070
```

Stability summary - winner: *x*; margin: 42 meV/atom.